1.
# PBE Tc2BiAu, optimized geometry
# Mass density, g/cm³: 12.20
# DFT formation energy, eV per atom: 0.65
# E, eV/cell: -101.13
# Magnetic moment, μB per formula unit: 0.0
# D(E_F), states/eV per cell: 9.576
data_Tc2BiAu
_chemical_formula_sum 'Tc8 Bi4 Au4'
_space_group_name_H-M_alt 'I -4 2 d'
_space_group_IT_number 122
_space_group_name_Hall 'I -4 2bw'
_cell_length_a 4.0620
_cell_length_b 4.0620
_cell_length_c 19.8676
_cell_angle_alpha 90.00
_cell_angle_beta 90.00
_cell_angle_gamma 90.00
loop_
_atom_site_label
_atom_site_type_symbol
_atom_site_fract_x
_atom_site_fract_y
_atom_site_fract_z
_atom_site_occupancy
Tc1 Tc 0.1630 0.2500 0.1250 1
Bi1 Bi 0.0000 0.0000 0.5000 1
Au1 Au 0.0000 0.0000 0.0000 1



2.
# PBE PmDyTmZn, optimized geometry
# Energy relative to the lowest polymorph listed for this composition, eV/f.u.: 0.00
# Mass density, g/cm³: 8.18
# DFT formation energy, eV per atom: -0.16
# E, eV/cell: -15.76
# Magnetic moment, μB per formula unit: 0.0
# D(E_F), states/eV per cell: 4.541
data_PmDyTmZn
_chemical_formula_sum 'Pm1 Dy1 Tm1 Zn1'
_space_group_name_H-M_alt 'P 4 m m'
_space_group_IT_number 99
_cell_length_a 3.5615
_cell_length_b 3.5615
_cell_length_c 8.6752
_cell_angle_alpha 90.00
_cell_angle_beta 90.00
_cell_angle_gamma 90.00
loop_
_space_group_symop_operation_xyz
'x,y,z'
'-y,x,z'
'-x,-y,z'
'y,-x,z'
'-x,y,z'
'y,x,z'
'x,-y,z'
'-y,-x,z'
loop_
_atom_site_label
_atom_site_type_symbol
_atom_site_fract_x
_atom_site_fract_y
_atom_site_fract_z
_atom_site_occupancy
Pm1 Pm 0.0000 0.0000 0.0000 1
Dy1 Dy 0.5000 0.5000 0.7004 1
Tm1 Tm 0.5000 0.5000 0.2954 1
Zn1 Zn 0.0000 0.0000 0.4924 1



Which value of D(E_F) does entry 1 give? 9.576 states/eV per cell